Computed, not measured: crystalline Dy2YEr3Te6 at its relaxed geometry at the GGA-PBE level of DFT.

The structure in CIF format:
```
data_Dy2YEr3Te6
_chemical_formula_sum 'Dy4 Y2 Er6 Te12'
_space_group_name_H-M_alt 'C 1 2/m 1'
_space_group_IT_number 12
_cell_length_a 18.928
_cell_length_b 4.319
_cell_length_c 8.723
_cell_angle_alpha 90.00
_cell_angle_beta 103.57
_cell_angle_gamma 90.00
loop_
_space_group_symop_operation_xyz
'x,y,z'
'-x,-y,-z'
'-x,y,-z'
'x,-y,z'
'x+1/2,y+1/2,z'
'-x+1/2,-y+1/2,-z'
'-x+1/2,y+1/2,-z'
'x+1/2,-y+1/2,z'
loop_
_atom_site_label
_atom_site_fract_x
_atom_site_fract_y
_atom_site_fract_z
_atom_site_occupancy
Dy1 0.166 0.000 0.333 1
Y1 0.000 0.500 0.000 1
Er1 0.000 0.500 0.500 1
Er2 0.166 0.000 0.833 1
Te1 0.001 0.000 0.748 1
Te2 0.166 0.500 0.585 1
Te3 0.168 0.500 0.081 1
```

The calculation puts the magnetic moment at 0.0000 μB/atom. The raw formation energy is -1.25 eV/atom.